Record 1
La2InRh: relaxed, PBE.

CIF file:
```
data_La2InRh
_cell_length_a 3.902
_cell_length_b 3.839
_cell_length_c 7.328
_cell_angle_alpha 90.00
_cell_angle_beta 97.14
_cell_angle_gamma 90.00
_space_group_name_H-M_alt 'P 1 2/m 1'
_space_group_IT_number 10
_space_group_name_Hall '-P 2y'
loop_
_atom_site_label
_atom_site_type_symbol
_atom_site_fract_x
_atom_site_fract_y
_atom_site_fract_z
_atom_site_occupancy
La1 La 0.074 0.000 0.281 1
In1 In 0.500 0.500 0.000 1
Rh1 Rh 0.500 0.500 0.500 1
```

- DFT formation energy (meV per atom) = -569

=====

Record 2
LaTh2ScSb4: relaxed, PBE.

CIF file:
```
data_LaTh2ScSb4
_cell_length_a 7.707
_cell_length_b 4.476
_cell_length_c 7.730
_cell_angle_alpha 90.00
_cell_angle_beta 109.67
_cell_angle_gamma 90.00
_space_group_name_H-M_alt 'P 1 2/m 1'
_space_group_IT_number 10
_space_group_name_Hall '-P 2y'
loop_
_atom_site_label
_atom_site_type_symbol
_atom_site_fract_x
_atom_site_fract_y
_atom_site_fract_z
_atom_site_occupancy
La1 La 0.000 0.000 0.000 1
Th1 Th 0.500 0.000 0.500 1
Th2 Th 0.500 0.500 0.000 1
Sc1 Sc 0.000 0.500 0.500 1
Sb1 Sb 0.237 0.000 0.734 1
Sb2 Sb 0.246 0.500 0.260 1
```

- energy relative to the elements, uncorrected (eV/atom) = -0.9780

=====

Record 3
MnAgI3: relaxed, PBE.

CIF file:
```
data_MnAgI3
_cell_length_a 5.638
_cell_length_b 5.638
_cell_length_c 5.638
_cell_angle_alpha 90.00
_cell_angle_beta 90.00
_cell_angle_gamma 90.00
_space_group_name_H-M_alt 'P m -3 m'
_space_group_IT_number 221
_space_group_name_Hall '-P 4 2 3'
loop_
_atom_site_label
_atom_site_type_symbol
_atom_site_fract_x
_atom_site_fract_y
_atom_site_fract_z
_atom_site_occupancy
Mn1 Mn 0.000 0.000 0.000 1
Ag1 Ag 0.500 0.500 0.500 1
I1 I 0.000 0.000 0.500 1
```

- energy relative to the lowest polymorph listed for this composition (meV per atom) = 403.1
- energy relative to the elements, uncorrected (eV/atom) = 0.0698

=====

Record 4
LiTc3O12: relaxed, PBE.

CIF file:
```
data_LiTc3O12
_cell_length_a 8.8000
_cell_length_b 8.8000
_cell_length_c 29.0502
_cell_angle_alpha 90.00
_cell_angle_beta 90.00
_cell_angle_gamma 120.00
_space_group_name_H-M_alt 'R 3 c'
_space_group_IT_number 161
_space_group_name_Hall 'R 3 -2"c'
loop_
_atom_site_label
_atom_site_type_symbol
_atom_site_fract_x
_atom_site_fract_y
_atom_site_fract_z
_atom_site_occupancy
Li1 Li 0.0000 0.0000 0.0000 1
Tc1 Tc 0.0863 0.3893 0.0680 1
O1 O 0.0236 0.2254 0.7464 1
O2 O 0.0820 0.1864 0.8669 1
O3 O 0.1054 0.2280 0.0391 1
O4 O 0.2009 0.4420 0.1195 1
```

- energy relative to the elements, uncorrected (eV/atom) = -1.1536

=====

Record 5
Re2SiBr: relaxed, PBE.

CIF file:
```
data_Re2SiBr
_cell_length_a 4.033
_cell_length_b 4.033
_cell_length_c 7.669
_cell_angle_alpha 90.00
_cell_angle_beta 90.00
_cell_angle_gamma 90.00
_space_group_name_H-M_alt 'I -4 m 2'
_space_group_IT_number 119
_space_group_name_Hall 'I -4 -2'
loop_
_atom_site_label
_atom_site_type_symbol
_atom_site_fract_x
_atom_site_fract_y
_atom_site_fract_z
_atom_site_occupancy
Re1 Re 0.000 0.000 0.000 1
Re2 Re 0.000 0.500 0.250 1
Si1 Si 0.000 0.500 0.750 1
Br1 Br 0.000 0.000 0.500 1
```

- energy relative to the lowest polymorph listed for this composition (meV per atom) = 823.8
- energy relative to the elements, uncorrected (eV/atom) = 1.1110

=====

Record 6
Nd2Dy5Bi4: relaxed, PBE.

CIF file:
```
data_Nd2Dy5Bi4
_cell_length_a 35.065
_cell_length_b 3.410
_cell_length_c 6.161
_cell_angle_alpha 90.00
_cell_angle_beta 97.42
_cell_angle_gamma 90.00
_space_group_name_H-M_alt 'C 1 2/m 1'
_space_group_IT_number 12
_space_group_name_Hall '-C 2y'
loop_
_atom_site_label
_atom_site_type_symbol
_atom_site_fract_x
_atom_site_fract_y
_atom_site_fract_z
_atom_site_occupancy
Nd1 Nd 0.213 0.000 0.263 1
Dy1 Dy 0.000 0.500 0.000 1
Dy2 Dy 0.119 0.000 0.454 1
Dy3 Dy 0.122 0.000 0.957 1
Bi1 Bi 0.043 0.000 0.645 1
Bi2 Bi 0.194 0.500 0.752 1
```

- DFT formation energy (meV per atom) = -101

=====

no.,raw total energy (eV/atom),magnetic moment (Bohr magnetons per cell)
1,-5.555,0.00
2,-6.302,0.00
3,-3.264,4.90
4,-6.935,13.15
5,-6.887,0.00
6,-4.471,0.00